LuBeCuAs | PBE-GGA | optimized geometry

Values from the calculation:
Total energy = -4.104 eV/atom
Volume = 257 Å³ per cell
Calculated density = 8.328 g/cm³

```
data_LuBeCuAs
_chemical_formula_sum 'Lu4 Be4 Cu4 As4'
_cell_length_a 6.359
_cell_length_b 6.359
_cell_length_c 6.359
_cell_angle_alpha 90.00
_cell_angle_beta 90.00
_cell_angle_gamma 90.00
_symmetry_space_group_name_H-M 'F -4 3 m'
_symmetry_Int_Tables_number 216
_symmetry_space_group_name_Hall 'F -4 2 3'
loop_
_atom_site_label
_atom_site_fract_x
_atom_site_fract_y
_atom_site_fract_z
_atom_site_occupancy
Lu1 0.000 0.000 0.000 1
Be1 0.250 0.250 0.250 1
Cu1 0.250 0.250 0.750 1
As1 0.000 0.000 0.500 1
```